Os3Ru4W2: relaxed, GGA-PBE.

## Properties
M_tot, Bohr magnetons per cell: 0.000
Calculated total energy, eV/atom: -10.5088
Density, Mg/m³: 16.57
Calculated formation energy, eV/f.u.: 2.12
SG: C2/c (15)

Geometry as POSCAR:
```
Os3Ru4W2
1.0
-3.174 2.126 -2.923
-6.271 -3.789 2.021
-2.767 5.226 4.774
Os W Ru
6 4 8
Direct
0.750 0.456 0.544
0.476 0.858 0.290
0.976 0.290 0.858
0.250 0.544 0.456
0.524 0.142 0.710
0.024 0.710 0.142
0.610 0.520 0.156
0.890 0.844 0.480
0.390 0.480 0.844
0.110 0.156 0.520
0.979 0.949 0.848
0.521 0.152 0.051
0.618 0.207 0.365
0.479 0.848 0.949
0.118 0.365 0.207
0.021 0.051 0.152
0.382 0.793 0.635
0.882 0.635 0.793
```

=====

OsRuW2: relaxed, GGA-PBE.

## Properties
M_tot, Bohr magnetons per cell: 0.000
Calculated total energy, eV/atom: -11.4443
Offset from the most stable computed form, meV/atom: 113.2
Density, Mg/m³: 17.96
Calculated formation energy, eV/f.u.: 0.63
SG: P4mm (99)

Geometry as POSCAR:
```
OsRuW2
1.0
2.754 0.032 0.000
-0.032 2.754 0.000
0.000 0.000 8.031
W Os Ru
2 1 1
Direct
0.000 0.000 0.989
0.500 0.500 0.261
0.000 0.000 0.508
0.500 0.500 0.742
```

=====

Os2Ru2W: relaxed, GGA-PBE.

## Properties
M_tot, Bohr magnetons per cell: 0.000
Calculated total energy, eV/atom: -10.0349
Density, Mg/m³: 15.01
Calculated formation energy, eV/f.u.: 3.79
SG: Fddd (70)

Geometry as POSCAR:
```
Os2Ru2W
1.0
1.854 -9.539 0.473
0.598 -7.190 4.938
-2.695 -3.056 -3.230
W Os Ru
2 4 4
Direct
0.750 0.750 0.750
0.500 0.500 0.500
0.814 0.186 0.814
0.064 0.436 0.064
0.436 0.064 0.436
0.186 0.814 0.186
0.107 0.107 0.893
0.893 0.893 0.107
0.143 0.143 0.357
0.357 0.357 0.143
```

=====

OsRuW2: relaxed, GGA-PBE.

## Properties
M_tot, Bohr magnetons per cell: 0.000
Calculated total energy, eV/atom: -11.5576
Offset from the most stable computed form, meV/atom: 0.0
Density, Mg/m³: 18.06
Calculated formation energy, eV/f.u.: 0.18
SG: Pmmm (47)

Geometry as POSCAR:
```
OsRuW2
1.0
2.803 0.000 0.000
0.000 3.863 0.000
0.000 0.000 5.595
W Os Ru
2 1 1
Direct
0.000 0.000 0.000
0.000 0.000 0.500
0.500 0.500 0.250
0.500 0.500 0.750
```

=====

Os3RuW: relaxed, GGA-PBE.

## Properties
M_tot, Bohr magnetons per cell: 2.906
Calculated total energy, eV/atom: -8.6206
Offset from the most stable computed form, meV/atom: 2058.0
Density, Mg/m³: 13.97
Calculated formation energy, eV/f.u.: 12.82
SG: Pm-3m (221)

Geometry as POSCAR:
```
Os3RuW
1.0
4.667 0.000 0.000
0.000 4.667 0.000
0.000 0.000 4.667
Os Ru W
3 1 1
Direct
0.000 0.000 0.500
0.500 0.000 0.000
0.000 0.500 0.000
0.500 0.500 0.500
0.000 0.000 0.000
```

=====

Y2OsRu: relaxed, GGA-PBE.

## Properties
M_tot, Bohr magnetons per cell: 0.000
Calculated total energy, eV/atom: -8.4286
Density, Mg/m³: 9.57
Calculated formation energy, eV/f.u.: -0.28
SG: Imm2 (44)

Geometry as POSCAR:
```
Y2OsRu
1.0
-0.725 0.752 5.878
2.327 -3.763 4.008
0.920 3.779 -4.529
Y Os Ru
2 1 1
Direct
0.987 0.987 0.000
0.266 0.766 0.500
0.523 0.523 0.000
0.725 0.225 0.500
```

=====

YOs2Ru: relaxed, GGA-PBE.

## Properties
M_tot, Bohr magnetons per cell: 0.000
Calculated total energy, eV/atom: -9.2400
Offset from the most stable computed form, meV/atom: 110.8
Density, Mg/m³: 13.89
Calculated formation energy, eV/f.u.: 1.24
SG: Imm2 (44)

Geometry as POSCAR:
```
YOs2Ru
1.0
5.675 0.003 -0.001
2.965 4.839 0.001
-3.718 -3.495 2.484
Ru Os Y
1 2 1
Direct
0.529 0.529 0.000
0.970 0.970 0.000
0.751 0.251 0.500
0.250 0.750 0.500
```

=====

Y2OsRu: relaxed, GGA-PBE.

## Properties
M_tot, Bohr magnetons per cell: 0.000
Calculated total energy, eV/atom: -8.4888
Density, Mg/m³: 9.79
Calculated formation energy, eV/f.u.: -0.52
SG: P4/mmm (123)

Geometry as POSCAR:
```
Y2OsRu
1.0
3.412 0.000 0.000
0.000 3.412 0.000
0.000 0.000 6.835
Y Os Ru
2 1 1
Direct
0.000 0.000 0.000
0.000 0.000 0.500
0.500 0.500 0.250
0.500 0.500 0.750
```